# 1
Computed, not measured: CaZr2RePd after structural relaxation at the GGA-PBE level of DFT.

Lattice parameters (Å, degrees): 5.085 4.905 5.085 90.00 90.00 90.00
Fractional positions:
Zr (0.500, 0.000, 0.000)
Zr (0.000, 0.000, 0.500)
Re (0.000, 0.500, 0.000)
Pd (0.000, 0.000, 0.000)
Ca (0.500, 0.500, 0.500)

Results
Symmetry = P4/mmm
Size of the total moment = 0.00 μB per cell
Formation energy from the elements = 0.826 eV per atom
Uncorrected energy = -6.52 eV/atom

=====

# 2
Computed, not measured: TlSiO3 after structural relaxation at the GGA-PBE level of DFT.

Lattice parameters (Å, degrees): 4.156 4.156 4.156 90.00 90.00 90.00
Fractional positions:
O (0.500, 0.000, 0.000)
O (0.000, 0.500, 0.000)
O (0.000, 0.000, 0.500)
Si (0.500, 0.500, 0.500)
Tl (0.000, 0.000, 0.000)

Results
Symmetry = Pm-3m
Size of the total moment = 0.00 μB per cell
Formation energy from raw total energies = 300 meV per atom
Uncorrected energy = -4.23 eV/atom

=====

# 3
Computed, not measured: Mg3In2Ir after structural relaxation at the GGA-PBE level of DFT.

Lattice parameters (Å, degrees): 4.814 5.000 7.067 110.72 109.91 90.00
Fractional positions:
In (0.230, 0.730, 0.461)
In (0.770, 0.270, 0.539)
Mg (0.608, 0.608, 0.216)
Mg (0.392, 0.392, 0.784)
Mg (0.000, 0.000, 0.000)
Ir (0.000, 0.500, 0.000)

Results
Symmetry = Immm
Size of the total moment = 0.00 μB per cell
Formation energy from the elements = 0.002 eV per atom
Uncorrected energy = -3.19 eV/atom

=====

# 4
Computed, not measured: SmCd2Au2 after structural relaxation at the GGA-PBE level of DFT.

Lattice parameters (Å, degrees): 4.904 4.933 10.040 85.44 90.00 90.00
Fractional positions:
Cd (0.250, 0.711, 0.989)
Cd (0.750, 0.265, 0.323)
Cd (0.250, 0.735, 0.677)
Cd (0.750, 0.289, 0.011)
Sm (0.250, 0.778, 0.320)
Sm (0.750, 0.222, 0.680)
Au (0.750, 0.749, 0.512)
Au (0.250, 0.228, 0.851)
Au (0.250, 0.251, 0.488)
Au (0.750, 0.772, 0.149)

Results
Symmetry = P2_1/m
Size of the total moment = 0.00 μB per cell
Formation energy from the elements = -0.451 eV per atom
Uncorrected energy = -3.07 eV/atom
Energy above the lowest structure with this stoichiometry = 0.00 eV per formula unit

=====

# 5
Computed, not measured: CdNi2Mo after structural relaxation at the GGA-PBE level of DFT.

Lattice parameters (Å, degrees): 4.242 2.687 5.164 74.86 90.00 90.00
Fractional positions:
Ni (0.000, 0.198, 0.980)
Ni (0.500, 0.058, 0.259)
Cd (0.000, 0.459, 0.457)
Mo (0.500, 0.786, 0.805)

Results
Symmetry = Amm2
Size of the total moment = 0.00 μB per cell
Formation energy from the elements = 0.178 eV per atom
Uncorrected energy = -5.65 eV/atom

=====

# 6
Computed, not measured: RbNb2Fe after structural relaxation at the GGA-PBE level of DFT.

Lattice parameters (Å, degrees): 5.585 5.585 8.543 70.92 70.92 90.00
Fractional positions:
Nb (0.875, 0.625, 0.750)
Nb (0.375, 0.625, 0.750)
Nb (0.375, 0.125, 0.250)
Nb (0.375, 0.625, 0.250)
Rb (0.000, 0.000, 0.000)
Rb (0.750, 0.250, 0.500)
Fe (0.250, 0.750, 0.500)
Fe (0.500, 0.500, 0.000)

Results
Symmetry = I4_1/amd
Size of the total moment = 0.00 μB per cell
Formation energy from the elements = 1.614 eV per atom
Uncorrected energy = -5.78 eV/atom
Energy above the lowest structure with this stoichiometry = 0.07 eV per formula unit

=====

# 7
Computed, not measured: Nd5Dy4Ag after structural relaxation at the GGA-PBE level of DFT.

Lattice parameters (Å, degrees): 3.638 3.638 24.243 90.00 90.00 90.00
Fractional positions:
Nd (0.500, 0.500, 0.083)
Nd (0.500, 0.500, 0.500)
Nd (0.500, 0.500, 0.292)
Nd (0.500, 0.500, 0.917)
Nd (0.500, 0.500, 0.708)
Dy (0.000, 0.000, 0.396)
Dy (0.000, 0.000, 0.604)
Dy (0.000, 0.000, 0.812)
Dy (0.000, 0.000, 0.188)
Ag (0.000, 0.000, 0.000)

Results
Symmetry = P4/mmm
Size of the total moment = 0.00 μB per cell
Formation energy from the elements = -0.029 eV per atom
Uncorrected energy = -4.54 eV/atom

=====

# 8
Computed, not measured: Sr2LiRe after structural relaxation at the GGA-PBE level of DFT.

Lattice parameters (Å, degrees): 5.433 5.433 5.433 60.00 60.00 60.00
Each line ends with the local moment (μB).
Fractional positions:
Li (0.000, 0.000, 0.000)  -0.03
Sr (0.250, 0.250, 0.250)  0.00
Sr (0.750, 0.750, 0.750)  0.00
Re (0.500, 0.500, 0.500)  1.86

Results
Symmetry = Fm-3m
Size of the total moment = 2.04 μB per cell
Formation energy from the elements = 0.816 eV per atom
Uncorrected energy = -3.62 eV/atom
Energy above the lowest structure with this stoichiometry = 0.16 eV per formula unit

=====

# 9
Computed, not measured: PrThCu after structural relaxation at the GGA-PBE level of DFT.

Lattice parameters (Å, degrees): 3.655 3.655 6.623 106.02 106.02 90.00
Fractional positions:
Th (0.306, 0.306, 0.612)
Cu (0.678, 0.678, 0.356)
Pr (0.016, 0.016, 0.032)

Results
Symmetry = I4mm
Size of the total moment = 0.00 μB per cell
Formation energy from the elements = -0.021 eV per atom
Uncorrected energy = -5.45 eV/atom
Energy above the lowest structure with this stoichiometry = 0.00 eV per formula unit

=====

# 10
Computed, not measured: Sr2Cd2In after structural relaxation at the GGA-PBE level of DFT.

Lattice parameters (Å, degrees): 9.289 9.289 4.060 90.00 90.00 90.00
Fractional positions:
Sr (0.664, 0.164, 0.000)
Sr (0.336, 0.836, 0.000)
Sr (0.836, 0.664, 0.000)
Sr (0.164, 0.336, 0.000)
Cd (0.371, 0.129, 0.500)
Cd (0.129, 0.629, 0.500)
Cd (0.871, 0.371, 0.500)
Cd (0.629, 0.871, 0.500)
In (0.500, 0.500, 0.000)
In (0.000, 0.000, 0.000)

Results
Symmetry = P4/mbm
Size of the total moment = 0.00 μB per cell
Formation energy from the elements = -0.129 eV per atom
Uncorrected energy = -1.72 eV/atom
Energy above the lowest structure with this stoichiometry = 1.17 eV per formula unit

=====

# 11
Computed, not measured: Y5ErSb4 after structural relaxation at the GGA-PBE level of DFT.

Lattice parameters (Å, degrees): 4.301 8.399 9.549 105.03 103.02 90.00
Fractional positions:
Y (0.836, 0.175, 0.672)
Y (0.823, 0.649, 0.647)
Y (0.177, 0.351, 0.353)
Y (0.164, 0.825, 0.328)
Y (0.500, 0.500, 0.000)
Sb (0.669, 0.088, 0.337)
Sb (0.993, 0.745, 0.987)
Sb (0.331, 0.912, 0.663)
Sb (0.007, 0.255, 0.013)
Er (0.500, 0.000, 0.000)

Results
Symmetry = C2/m
Size of the total moment = 0.00 μB per cell
Formation energy from raw total energies = -764 meV per atom
Uncorrected energy = -6.10 eV/atom

=====

# 12
Computed, not measured: NdSmHg4 after structural relaxation at the GGA-PBE level of DFT.

Lattice parameters (Å, degrees): 3.974 5.770 8.049 102.13 75.71 69.86
Each line ends with the local moment (μB).
Fractional positions:
Nd (0.000, 0.000, 0.000)  0.08
Hg (0.838, 0.494, 0.831)  0.00
Hg (0.331, 0.000, 0.338)  0.00
Hg (0.669, 0.000, 0.662)  0.00
Hg (0.162, 0.506, 0.169)  0.00
Sm (0.500, 0.500, 0.500)  0.08

Results
Symmetry = C2/m
Size of the total moment = 0.35 μB per cell
Formation energy from the elements = -0.361 eV per atom
Uncorrected energy = -2.14 eV/atom
Energy above the lowest structure with this stoichiometry = 0.23 eV per formula unit

=====

# 13
Computed, not measured: CeMnAlSi2 after structural relaxation at the GGA-PBE level of DFT.

Lattice parameters (Å, degrees): 3.963 3.963 6.089 108.99 108.99 90.00
Each line ends with the local moment (μB).
Fractional positions:
Si (0.389, 0.389, 0.778)  -0.04
Si (0.611, 0.611, 0.222)  -0.04
Ce (0.000, 0.000, 0.000)  -0.51
Mn (0.750, 0.250, 0.500)  2.38
Al (0.250, 0.750, 0.500)  -0.02

Results
Symmetry = I-4m2
Size of the total moment = 1.68 μB per cell
Formation energy from raw total energies = -531 meV per atom
Uncorrected energy = -6.47 eV/atom

=====

# 14
Computed, not measured: TaSb2TeO after structural relaxation at the GGA-PBE level of DFT.

Lattice parameters (Å, degrees): 4.568 4.568 4.973 90.00 90.00 90.00
Fractional positions:
Ta (0.500, 0.500, 0.500)
Sb (0.000, 0.500, 0.000)
Sb (0.500, 0.000, 0.000)
O (0.000, 0.000, 0.000)
Te (0.000, 0.000, 0.500)

Results
Symmetry = P4/mmm
Size of the total moment = 0.00 μB per cell
Formation energy from raw total energies = 328 meV per atom
Uncorrected energy = -5.31 eV/atom
Energy above the lowest structure with this stoichiometry = 0.00 eV per formula unit

=====

# 15
Computed, not measured: Hf3CuRh2 after structural relaxation at the GGA-PBE level of DFT.

Lattice parameters (Å, degrees): 3.277 3.277 9.679 90.00 90.00 90.00
Fractional positions:
Rh (0.500, 0.500, 0.167)
Rh (0.500, 0.500, 0.833)
Hf (0.000, 0.000, 0.000)
Hf (0.000, 0.000, 0.665)
Hf (0.000, 0.000, 0.335)
Cu (0.500, 0.500, 0.500)

Results
Symmetry = P4/mmm
Size of the total moment = 0.00 μB per cell
Formation energy from the elements = -0.633 eV per atom
Uncorrected energy = -8.74 eV/atom

=====

# 16
Computed, not measured: Tb4Dy5Er3 after structural relaxation at the GGA-PBE level of DFT.

Lattice parameters (Å, degrees): 5.842 8.501 9.557 105.95 72.20 69.90
Each line ends with the local moment (μB).
Fractional positions:
Dy (0.787, 0.540, 0.886)  0.01
Dy (0.213, 0.460, 0.114)  0.01
Dy (0.372, 0.055, 0.202)  0.01
Dy (0.628, 0.945, 0.798)  0.01
Dy (0.500, 0.500, 0.500)  0.18
Er (0.000, 0.500, 0.500)  0.19
Er (0.522, 0.688, 0.268)  0.01
Er (0.478, 0.312, 0.732)  0.01
Tb (0.140, 0.778, 0.941)  0.01
Tb (0.165, 0.050, 0.621)  0.00
Tb (0.860, 0.222, 0.059)  0.01
Tb (0.835, 0.950, 0.379)  0.00

Results
Symmetry = C2/m
Size of the total moment = 0.48 μB per cell
Formation energy from the elements = 0.240 eV per atom
Uncorrected energy = -4.36 eV/atom
Energy above the lowest structure with this stoichiometry = 2.68 eV per formula unit

=====

# 17
Computed, not measured: InBPd2Cl after structural relaxation at the GGA-PBE level of DFT.

Lattice parameters (Å, degrees): 4.206 5.085 4.206 90.00 90.00 90.00
Fractional positions:
Cl (0.500, 0.500, 0.500)
B (0.000, 0.000, 0.000)
In (0.000, 0.500, 0.000)
Pd (0.000, 0.000, 0.500)
Pd (0.500, 0.000, 0.000)

Results
Symmetry = P4/mmm
Size of the total moment = 0.00 μB per cell
Formation energy from raw total energies = 82 meV per atom
Uncorrected energy = -4.25 eV/atom

=====

# 18
Computed, not measured: Ca3YCl after structural relaxation at the GGA-PBE level of DFT.

Lattice parameters (Å, degrees): 5.594 5.594 5.594 90.00 90.00 90.00
Each line ends with the local moment (μB).
Fractional positions:
Y (0.500, 0.500, 0.500)  0.33
Cl (0.000, 0.000, 0.000)  0.01
Ca (0.500, 0.000, 0.000)  0.06
Ca (0.000, 0.500, 0.000)  0.08
Ca (0.000, 0.000, 0.500)  0.11

Results
Symmetry = Pm-3m
Size of the total moment = 1.72 μB per cell
Formation energy from raw total energies = -411 meV per atom
Uncorrected energy = -3.27 eV/atom
Energy above the lowest structure with this stoichiometry = 0.00 eV per formula unit